# 1
# PBE Ta2Mn2Pt, optimized geometry
# Calculated total energy: -9.785 eV per atom
# Total magnetization: 0.00 μB/f.u.
# Energy relative to the elements: -0.17 eV/atom
data_Ta2Mn2Pt
_cell_length_a 6.497
_cell_length_b 6.497
_cell_length_c 3.538
_cell_angle_alpha 90.00
_cell_angle_beta 90.00
_cell_angle_gamma 90.00
_space_group_name_H-M_alt 'P 4/m b m'
_space_group_IT_number 127
_space_group_name_Hall '-P 4 2ab'
loop_
_atom_site_label
_atom_site_type_symbol
_atom_site_fract_x
_atom_site_fract_y
_atom_site_fract_z
Ta1 Ta 0.187 0.313 0.000
Mn1 Mn 0.111 0.611 0.500
Pt1 Pt 0.000 0.000 0.500

# 2
# PBE TaMn2Pt, optimized geometry
# Calculated total energy: -9.353 eV per atom
# ΔE to the lowest computed polymorph: 0.0000 eV/atom
# Total magnetization: 4.71 μB/f.u.
# Energy relative to the elements: -0.29 eV/atom
data_TaMn2Pt
_cell_length_a 4.037
_cell_length_b 4.037
_cell_length_c 3.576
_cell_angle_alpha 90.00
_cell_angle_beta 90.00
_cell_angle_gamma 90.00
_space_group_name_H-M_alt 'P 4/m m m'
_space_group_IT_number 123
_space_group_name_Hall '-P 4 2'
loop_
_atom_site_label
_atom_site_type_symbol
_atom_site_fract_x
_atom_site_fract_y
_atom_site_fract_z
Ta1 Ta 0.000 0.000 0.000
Mn1 Mn 0.000 0.500 0.500
Pt1 Pt 0.500 0.500 0.000

energy relative to the elements of number 2 (TaMn2Pt)? -0.29 eV/atom